## Tl3ReRu (SCAN)

Data for a crystal of Tl3ReRu relaxed with PBEsol.

a = 5.176 Å, b = 5.176 Å, c = 5.176 Å
α = 90.00°, β = 90.00°, γ = 90.00°
Each line ends with the local moment (μB).
Sites, in units of the cell vectors:
Ru  0.500  0.500  0.500  2.58
Re  0.000  0.000  0.000  1.03
Tl  0.000  0.500  0.000  -0.01
Tl  0.000  0.000  0.500  -0.01
Tl  0.500  0.000  0.000  -0.01

Computed properties:
The calculation puts the formation energy at 1454 meV/atom. The symmetry is Pm-3m (221). As for the final energy: -63.15 eV per atom.